# Hf2TaNi6

A geometry-optimized Hf2TaNi6 structure (GGA-PBE, Alexandria).

abc: 5.5046 5.1677 5.1677
angles: 120.00 90.00 90.00
Positions (direct):
Hf  0.3511  0.6667  0.3333
Hf  0.6489  0.3333  0.6667
Ta  0.5000  0.0000  0.0000
Ni  0.8318  0.8226  0.6453
Ni  0.8318  0.8226  0.1774
Ni  0.1682  0.6453  0.8226
Ni  0.8318  0.3547  0.1774
Ni  0.1682  0.1774  0.8226
Ni  0.1682  0.1774  0.3547

Results
Size of the total moment: 0.00 μB/cell
Space-group type: P-3m1
Crystal system: trigonal

# HfTa2Ni6

A geometry-optimized HfTa2Ni6 structure (GGA-PBE, Alexandria).

abc: 5.4390 5.1194 5.1194
angles: 120.00 90.00 90.00
Positions (direct):
Hf  0.5000  0.0000  0.0000
Ta  0.3614  0.6667  0.3333
Ta  0.6386  0.3333  0.6667
Ni  0.8347  0.8202  0.6404
Ni  0.8347  0.8202  0.1798
Ni  0.1653  0.6404  0.8202
Ni  0.8347  0.3596  0.1798
Ni  0.1653  0.1798  0.8202
Ni  0.1653  0.1798  0.3596

Results
Size of the total moment: 0.00 μB/cell
Space-group type: P-3m1
Crystal system: trigonal

# HfTaNi3

A geometry-optimized HfTaNi3 structure (GGA-PBE, Alexandria).

abc: 4.4756 4.4756 4.4756
angles: 90.00 90.00 90.00
Positions (direct):
Ni  0.0000  0.5000  0.0000
Ni  0.0000  0.0000  0.5000
Ni  0.5000  0.0000  0.0000
Hf  0.5000  0.5000  0.5000
Ta  0.0000  0.0000  0.0000

Results
Size of the total moment: 0.00 μB/cell
Relative energy among the computed polymorphs: 0.0 meV per atom
Space-group type: Pm-3m
Crystal system: cubic

# Hf3TaNi

A geometry-optimized Hf3TaNi structure (GGA-PBE, Alexandria).

abc: 5.0358 5.0358 5.0358
angles: 90.00 90.00 90.00
Positions (direct):
Ni  0.5000  0.5000  0.5000
Hf  0.0000  0.5000  0.0000
Hf  0.0000  0.0000  0.5000
Hf  0.5000  0.0000  0.0000
Ta  0.0000  0.0000  0.0000

Results
Size of the total moment: 0.00 μB/cell
Relative energy among the computed polymorphs: 890.7 meV per atom
Space-group type: Pm-3m
Crystal system: cubic

# HfTaVNi

A geometry-optimized HfTaVNi structure (GGA-PBE, Alexandria).

abc: 4.4732 4.4732 4.4732
angles: 60.00 60.00 60.00
Positions (direct):
Ni  0.2500  0.2500  0.2500
V  0.7500  0.7500  0.7500
Hf  0.0000  0.0000  0.0000
Ta  0.5000  0.5000  0.5000

Results
Size of the total moment: 0.02 μB/cell
Space-group type: F-43m
Crystal system: cubic

# HfTaNiW

A geometry-optimized HfTaNiW structure (GGA-PBE, Alexandria).

abc: 4.5472 4.5472 4.5472
angles: 60.00 60.00 60.00
Positions (direct):
Ni  0.2500  0.2500  0.2500
Hf  0.5000  0.5000  0.5000
W  0.7500  0.7500  0.7500
Ta  0.0000  0.0000  0.0000

Results
Size of the total moment: 0.00 μB/cell
Space-group type: F-43m
Crystal system: cubic

# TbHf2Ni

A geometry-optimized TbHf2Ni structure (GGA-PBE, Alexandria).

abc: 3.2677 3.2677 7.8083
angles: 90.00 90.00 90.00
Positions (direct):
Tb  0.5000  0.5000  0.5000
Hf  0.0000  0.0000  0.8046
Hf  0.0000  0.0000  0.1954
Ni  0.5000  0.5000  0.0000

Results
Size of the total moment: 0.00 μB/cell
Space-group type: P4/mmm
Crystal system: tetragonal

# TbHfNi10

A geometry-optimized TbHfNi10 structure (GGA-PBE, Alexandria).

abc: 3.9628 4.8005 8.3174
angles: 90.00 90.00 90.00
Positions (direct):
Tb  0.0000  0.0000  0.0000
Hf  0.0000  0.5000  0.5000
Ni  0.0000  0.0000  0.3407
Ni  0.0000  0.5000  0.8234
Ni  0.0000  0.5000  0.1766
Ni  0.0000  0.0000  0.6593
Ni  0.5000  0.0000  0.5000
Ni  0.5000  0.5000  0.0000
Ni  0.5000  0.2541  0.2570
Ni  0.5000  0.7459  0.7430
Ni  0.5000  0.7459  0.2570
Ni  0.5000  0.2541  0.7430

Results
Size of the total moment: 2.58 μB/cell
Space-group type: Pmmm
Crystal system: orthorhombic

# Tb2HfNi9

A geometry-optimized Tb2HfNi9 structure (GGA-PBE, Alexandria).

abc: 4.8787 4.8787 8.6325
angles: 73.59 73.59 60.00
Positions (direct):
Tb  0.8628  0.8628  0.4115
Tb  0.1372  0.1372  0.5885
Hf  0.0000  0.0000  0.0000
Ni  0.6667  0.6667  0.9998
Ni  0.3333  0.3333  0.0002
Ni  0.5000  0.5000  0.5000
Ni  0.4192  0.4192  0.2417
Ni  0.9199  0.4192  0.2417
Ni  0.4192  0.9199  0.2417
Ni  0.5808  0.5808  0.7583
Ni  0.5808  0.0801  0.7583
Ni  0.0801  0.5808  0.7583

Results
Size of the total moment: 0.00 μB/cell
Space-group type: R-3m
Crystal system: trigonal

# TbHfZnNi

A geometry-optimized TbHfZnNi structure (GGA-PBE, Alexandria).

abc: 4.7583 4.7583 4.7583
angles: 60.00 60.00 60.00
Positions (direct):
Tb  0.0000  0.0000  0.0000
Zn  0.7500  0.7500  0.7500
Hf  0.5000  0.5000  0.5000
Ni  0.2500  0.2500  0.2500

Results
Size of the total moment: 0.00 μB/cell
Space-group type: F-43m
Crystal system: cubic

# Hf4Tc3Ni

A geometry-optimized Hf4Tc3Ni structure (GGA-PBE, Alexandria).

abc: 3.2789 4.5864 9.0981
angles: 90.00 90.00 90.00
Positions (direct):
Ni  0.5000  0.5000  0.0000
Hf  0.0000  0.0000  0.5000
Hf  0.0000  0.5000  0.7493
Hf  0.0000  0.0000  0.0000
Hf  0.0000  0.5000  0.2507
Tc  0.5000  0.0000  0.2425
Tc  0.5000  0.5000  0.5000
Tc  0.5000  0.0000  0.7575

Results
Size of the total moment: 0.00 μB/cell
Space-group type: Pmmm
Crystal system: orthorhombic

# HfTc2Ni2

A geometry-optimized HfTc2Ni2 structure (GGA-PBE, Alexandria).

abc: 6.4874 6.4874 3.4404
angles: 90.00 90.00 90.00
Positions (direct):
Ni  0.3728  0.8728  0.0000
Ni  0.8728  0.6272  0.0000
Ni  0.6272  0.1272  0.0000
Ni  0.1272  0.3728  0.0000
Hf  0.0000  0.0000  0.0000
Hf  0.5000  0.5000  0.0000
Tc  0.1599  0.6599  0.5000
Tc  0.6599  0.8401  0.5000
Tc  0.8401  0.3401  0.5000
Tc  0.3401  0.1599  0.5000

Results
Size of the total moment: 0.00 μB/cell
Relative energy among the computed polymorphs: 0.0 meV per atom
Space-group type: P4/mbm
Crystal system: tetragonal

# HfTcNi2

A geometry-optimized HfTcNi2 structure (GGA-PBE, Alexandria).

abc: 3.7823 3.8545 3.8545
angles: 90.00 90.00 90.00
Positions (direct):
Ni  0.0000  0.0000  0.5000
Ni  0.0000  0.5000  0.0000
Hf  0.5000  0.0000  0.0000
Tc  0.5000  0.5000  0.5000

Results
Size of the total moment: 0.00 μB/cell
Relative energy among the computed polymorphs: 0.0 meV per atom
Space-group type: P4/mmm
Crystal system: tetragonal

# HfTc2Ni

A geometry-optimized HfTc2Ni structure (GGA-PBE, Alexandria).

abc: 4.4125 4.4125 4.4125
angles: 60.00 60.00 60.00
Positions (direct):
Ni  0.0000  0.0000  0.0000
Hf  0.5000  0.5000  0.5000
Tc  0.2500  0.2500  0.2500
Tc  0.7500  0.7500  0.7500

Results
Size of the total moment: 0.00 μB/cell
Relative energy among the computed polymorphs: 0.0 meV per atom
Space-group type: Fm-3m
Crystal system: cubic

# HfTcNi2

A geometry-optimized HfTcNi2 structure (GGA-PBE, Alexandria).

abc: 4.3307 4.3307 4.3307
angles: 60.00 60.00 60.00
Positions (direct):
Ni  0.2500  0.2500  0.2500
Ni  0.7500  0.7500  0.7500
Hf  0.5000  0.5000  0.5000
Tc  0.0000  0.0000  0.0000

Results
Size of the total moment: 1.62 μB/cell
Relative energy among the computed polymorphs: 164.7 meV per atom
Space-group type: Fm-3m
Crystal system: cubic

# HfTc2Ni2

A geometry-optimized HfTc2Ni2 structure (GGA-PBE, Alexandria).

abc: 7.3404 7.3404 2.7021
angles: 90.00 90.00 90.00
Positions (direct):
Ni  0.1761  0.6761  0.5000
Ni  0.6761  0.8239  0.5000
Ni  0.8239  0.3239  0.5000
Ni  0.3239  0.1761  0.5000
Hf  0.0000  0.0000  0.0000
Hf  0.5000  0.5000  0.0000
Tc  0.3796  0.8796  0.0000
Tc  0.8796  0.6204  0.0000
Tc  0.6204  0.1204  0.0000
Tc  0.1204  0.3796  0.0000

Results
Size of the total moment: 0.00 μB/cell
Relative energy among the computed polymorphs: 56.1 meV per atom
Space-group type: P4/mbm
Crystal system: tetragonal

# HfTc2Ni2

A geometry-optimized HfTc2Ni2 structure (GGA-PBE, Alexandria).

abc: 3.7923 3.7923 6.0416
angles: 71.71 71.71 90.00
Positions (direct):
Ni  0.7500  0.2500  0.5000
Ni  0.2500  0.7500  0.5000
Hf  0.0000  0.0000  0.0000
Tc  0.3954  0.3954  0.2093
Tc  0.6046  0.6046  0.7907

Results
Size of the total moment: 0.00 μB/cell
Relative energy among the computed polymorphs: 61.9 meV per atom
Space-group type: I4/mmm
Crystal system: tetragonal

# HfTc2Ni

A geometry-optimized HfTc2Ni structure (GGA-PBE, Alexandria).

abc: 3.6457 3.6457 10.0991
angles: 79.60 79.60 90.00
Positions (direct):
Ni  0.5000  0.5000  0.0000
Ni  0.2500  0.7500  0.5000
Hf  0.0000  0.0000  0.0000
Hf  0.7500  0.2500  0.5000
Tc  0.6087  0.1250  0.2500
Tc  0.1413  0.6250  0.2500
Tc  0.3750  0.3913  0.7500
Tc  0.8750  0.8587  0.7500

Results
Size of the total moment: 0.00 μB/cell
Relative energy among the computed polymorphs: 169.8 meV per atom
Space-group type: I-42d
Crystal system: tetragonal

# Hf6Tc5Ni

A geometry-optimized Hf6Tc5Ni structure (GGA-PBE, Alexandria).

abc: 4.6008 6.4978 7.9697
angles: 114.06 106.78 90.00
Positions (direct):
Ni  0.0000  0.0000  0.0000
Hf  0.8326  0.5811  0.6651
Hf  0.8326  0.0841  0.6651
Hf  0.5000  0.7476  0.0000
Hf  0.5000  0.2524  0.0000
Hf  0.1674  0.9159  0.3349
Hf  0.1674  0.4189  0.3349
Tc  0.6642  0.1642  0.3284
Tc  0.3334  0.3334  0.6667
Tc  0.0000  0.5000  0.0000
Tc  0.6666  0.6666  0.3333
Tc  0.3358  0.8358  0.6716

Results
Size of the total moment: 0.00 μB/cell
Space-group type: Immm
Crystal system: orthorhombic

# HfTcNi3

A geometry-optimized HfTcNi3 structure (GGA-PBE, Alexandria).

abc: 4.4058 4.4058 4.4058
angles: 90.00 90.00 90.00
Positions (direct):
Ni  0.0000  0.5000  0.0000
Ni  0.0000  0.0000  0.5000
Ni  0.5000  0.0000  0.0000
Hf  0.0000  0.0000  0.0000
Tc  0.5000  0.5000  0.5000

Results
Size of the total moment: 0.00 μB/cell
Relative energy among the computed polymorphs: 599.0 meV per atom
Space-group type: Pm-3m
Crystal system: cubic

| no. | ΔE_f (eV per atom) | DOS at the Fermi energy (states/eV per cell) | VASP energy (eV/cell) |
| --- | --- | --- | --- |
| 1 | -0.324 | 7.05 | -69.4 |
| 2 | -0.103 | 8.94 | -69.3 |
| 3 | 0.835 | 5.20 | -35.0 |
| 4 | 1.393 | 10.88 | -40.5 |
| 5 | -0.050 | 4.20 | -36.9 |
| 6 | -0.113 | 3.24 | -41.0 |
| 7 | -0.071 | 5.75 | -30.6 |
| 8 | -0.307 | 13.27 | -76.1 |
| 9 | -0.377 | 15.24 | -75.8 |
| 10 | -0.203 | 4.17 | -22.4 |
| 11 | -0.513 | 4.16 | -80.8 |
| 12 | 0.002 | 12.39 | -84.5 |
| 13 | -0.264 | 4.96 | -32.9 |
| 14 | 0.094 | 7.10 | -36.1 |
| 15 | -0.099 | 4.83 | -32.3 |
| 16 | 0.058 | 16.32 | -83.9 |
| 17 | 0.063 | 3.80 | -41.9 |
| 18 | 0.264 | 7.18 | -70.8 |
| 19 | -0.509 | 8.42 | -123.4 |
| 20 | 1.476 | 3.76 | -30.3 |